Pm7YTh3: optimized geometry, PBE-GGA.

Lattice parameters (Å, degrees): 6.8188 8.8254 6.5240 82.29 82.46 101.54
Fractional positions:
Pm 0.7307 0.4238 0.0067
Th 0.9489 0.8352 0.1674
Pm 0.2834 0.8554 0.5748
Th 0.5000 0.0000 0.0000
Pm 0.2693 0.5762 0.9933
Pm 0.2288 0.2015 0.2999
Y 0.5000 0.5000 0.5000
Pm 0.7166 0.1446 0.4252
Th 0.0511 0.1648 0.8326
Pm 0.0000 0.5000 0.5000
Pm 0.7712 0.7985 0.7001

Results
Total DFT energy (no corrections) = -5.468 eV per atom



Tm5SnPd2: optimized geometry, PBE-GGA.

Lattice parameters (Å, degrees): 7.7043 7.7043 8.6367 116.49 116.49 90.00
Fractional positions:
Tm 0.5000 0.5000 0.0000
Tm 0.0000 0.0000 0.0000
Pd 0.1355 0.3645 0.0000
Sn 0.2500 0.2500 0.5000
Sn 0.7500 0.7500 0.5000
Tm 0.2006 0.0151 0.7157
Pd 0.3645 0.8645 0.0000
Tm 0.0151 0.5151 0.7157
Pd 0.6355 0.1355 0.0000
Tm 0.4849 0.2994 0.2843
Tm 0.9849 0.4849 0.2843
Tm 0.5151 0.7006 0.7157
Tm 0.2994 0.7994 0.2843
Tm 0.7994 0.9849 0.2843
Tm 0.7006 0.2006 0.7157
Pd 0.8645 0.6355 0.0000

Results
Total DFT energy (no corrections) = -5.307 eV per atom



Nb3HI: optimized geometry, PBE-GGA.

Lattice parameters (Å, degrees): 4.3096 4.3096 4.3096 90.00 90.00 90.00
Fractional positions:
I 0.5000 0.5000 0.5000
Nb 0.0000 0.0000 0.5000
H 0.0000 0.0000 0.0000
Nb 0.0000 0.5000 0.0000
Nb 0.5000 0.0000 0.0000

Results
Energy relative to the lowest polymorph listed for this composition = 0.00 eV per formula unit